Entry 1:
The following is a PBE-GGA calculation of an optimized crystal structure of Ac6Ag2Rh, from Alexandria via LeMat-Bulk.

Output
* density: 8.36 Mg/m³
* E_form: -0.27 eV per atom

a = 7.3499 Å, b = 8.0875 Å, c = 13.0428 Å
α = 90.00°, β = 120.58°, γ = 90.00°
Last column: nearest neighbours and their distance in Å.
Space group P2_1/c (No. 14)
Inequivalent atoms, fractional coordinates:
Ac: 0.1104 0.0344 0.2521  1 Rh 2.97, 2 Ag 3.27-3.29
Ac: 0.2314 0.6827 0.0648  1 Rh 2.95
Ac: 0.3806 0.1933 0.0611  1 Rh 2.94, 1 Ag 3.25
Ag: 0.3276 0.1063 0.7684  6 Ac 3.25-3.34
Rh: 0.0000 0.0000 0.0000  6 Ac 2.94-2.97

---

Entry 2:
The following is a PBE-GGA calculation of an optimized crystal structure of HfBeCo, from Alexandria via LeMat-Bulk.

Output
* density: 10.21 Mg/m³
* E_form: -0.19 eV per atom

a = 3.0354 Å, b = 3.0354 Å, c = 8.7023 Å
α = 90.00°, β = 90.00°, γ = 90.00°
Last column: nearest neighbours and their distance in Å.
Space group I4mm (No. 107)
Inequivalent atoms, fractional coordinates:
Hf: 0.0000 0.0000 0.0000  5 Co 2.63-2.75, 5 Be 2.64-2.74
Be: 0.0000 0.0000 0.3039  4 Co 2.34
Co: 0.0000 0.0000 0.6977  4 Be 2.34

---

Entry 3:
The following is a PBE-GGA calculation of an optimized crystal structure of Ca2DyInO, from Alexandria via LeMat-Bulk.

Output
* density: 5.47 Mg/m³
* uncorrected formation energy: -1425 meV/atom

a = 4.8284 Å, b = 4.8284 Å, c = 4.8641 Å
α = 90.00°, β = 90.00°, γ = 90.00°
Last column: nearest neighbours and their distance in Å.
Space group P4/mmm (No. 123)
Inequivalent atoms, fractional coordinates:
Ca: 0.0000 0.5000 0.0000  2 O 2.41
Dy: 0.0000 0.0000 0.5000  2 O 2.43
In: 0.5000 0.5000 0.5000  4 Dy 3.41, 8 Ca 3.43
O: 0.0000 0.0000 0.0000  4 Ca 2.41, 2 Dy 2.43

---

Entry 4:
The following is a PBE-GGA calculation of an optimized crystal structure of BaSi2Os, from Alexandria via LeMat-Bulk.

Output
* density: 5.74 Mg/m³
* uncorrected formation energy: -328 meV/atom

a = 5.5957 Å, b = 5.5957 Å, c = 14.1823 Å
α = 90.00°, β = 90.00°, γ = 90.00°
Last column: nearest neighbours and their distance in Å.
Space group I4_1/amd (No. 141, origin choice 2)
Inequivalent atoms, fractional coordinates:
Ba: 0.0000 0.2500 0.3750  8 Si 3.60, 4 Os 3.96
Si: 0.0000 0.0000 0.0000  2 Os 2.26
Os: 0.0000 0.2500 0.8750  4 Si 2.26

---

Entry 5:
The following is a PBE-GGA calculation of an optimized crystal structure of NaBAsO5, from Alexandria via LeMat-Bulk.

Output
* density: 4.00 Mg/m³
* uncorrected formation energy: -1446 meV/atom

a = 6.3582 Å, b = 8.3238 Å, c = 6.6973 Å
α = 90.00°, β = 117.84°, γ = 90.00°
Last column: nearest neighbours and their distance in Å.
Space group C2/c (No. 15)
Inequivalent atoms, fractional coordinates:
Na: 0.0000 0.1611 0.2500  5 O 2.15-2.33
B: 0.0000 0.2041 0.7500  4 O 1.47-1.51
As: 0.0000 0.5000 0.0000  6 O 1.81-1.97
O: 0.0000 0.4190 0.2500  2 As 1.81
O: 0.0950 0.2981 0.6238  1 B 1.47
O: 0.1752 0.0801 0.9026  1 B 1.51

---

Entry 6:
The following is a PBE-GGA calculation of an optimized crystal structure of SiAgI4, from Alexandria via LeMat-Bulk.

Output
* density: 4.00 Mg/m³
* uncorrected formation energy: -128 meV/atom

a = 6.6585 Å, b = 6.6585 Å, c = 12.0655 Å
α = 90.00°, β = 90.00°, γ = 90.00°
Last column: nearest neighbours and their distance in Å.
Space group I-4 (No. 82)
Inequivalent atoms, fractional coordinates:
Si: 0.0000 0.0000 0.0000  4 I 2.64
Ag: 0.0000 0.5000 0.7500  4 I 2.86
I: 0.2277 0.2385 0.1220  1 Si 2.64, 1 Ag 2.86

---

Entry 7:
The following is a PBE-GGA calculation of an optimized crystal structure of Ba3TbPm2Te6, from Alexandria via LeMat-Bulk.

Output
* density: 6.17 Mg/m³
* uncorrected formation energy: -1559 meV/atom

a = 8.0221 Å, b = 13.8710 Å, c = 8.3037 Å
α = 90.00°, β = 108.77°, γ = 90.00°
Last column: nearest neighbours and their distance in Å.
Space group C2/m (No. 12)
Inequivalent atoms, fractional coordinates:
Ba: 0.0000 0.0000 0.0000  6 Te 3.45-3.49
Ba: 0.0000 0.3313 0.0000  6 Te 3.45-3.47
Tb: 0.0000 0.5000 0.5000  6 Te 3.15-3.16
Pm: 0.0000 0.1658 0.5000  6 Te 3.20
Te: 0.2371 0.3357 0.7196  1 Tb 3.15, 2 Pm 3.20, 3 Ba 3.45-3.47
Te: 0.2460 0.0000 0.7219  1 Tb 3.16, 2 Pm 3.20, 3 Ba 3.45-3.49

---

Entry 8:
The following is a PBE-GGA calculation of an optimized crystal structure of LaMo2Br, from Alexandria via LeMat-Bulk.

Output
* density: 6.88 Mg/m³
* uncorrected formation energy: 296 meV/atom

a = 11.8100 Å, b = 3.3966 Å, c = 4.9797 Å
α = 90.00°, β = 97.19°, γ = 90.00°
Last column: nearest neighbours and their distance in Å.
Space group C2/m (No. 12)
Inequivalent atoms, fractional coordinates:
La: 0.0000 0.0000 0.0000  4 Br 3.01, 2 Mo 3.21
Mo: 0.2461 0.5000 0.1671  2 Mo 2.39
Br: 0.0000 0.5000 0.5000  4 La 3.01

---

> What is the density in the first record?

8.36 Mg/m³